Entry 1:
DFT (PBE) results for crystalline Ba3LiMg2H9 at its relaxed geometry.

Results
DOS at the Fermi energy	3.870	states/eV/cell
energy	-45.968	eV/cell

Unit cell a=5.8503 b=5.8503 c=7.0820 alpha=90.00 beta=90.00 gamma=120.00
Last column: nearest neighbours and their distance in Å.
Sites, in units of the cell vectors:
Ba: 0.0000 0.0000 0.0000  12 H 2.89-2.93
Ba: 0.3333 0.6667 0.6693  12 H 2.89-2.93
Ba: 0.6667 0.3333 0.3307  12 H 2.89-2.93
Li: 0.0000 0.0000 0.5000  6 H 2.11
Mg: 0.3333 0.6667 0.1671  6 H 2.01-2.06
Mg: 0.6667 0.3333 0.8329  6 H 2.01-2.06
H: 0.0000 0.5000 0.0000  2 Mg 2.06
H: 0.1696 0.3393 0.3274  1 Mg 2.01, 1 Li 2.11
H: 0.1696 0.8304 0.3274  1 Mg 2.01, 1 Li 2.11
H: 0.3393 0.1696 0.6726  1 Mg 2.01, 1 Li 2.11
H: 0.5000 0.0000 0.0000  2 Mg 2.06
H: 0.5000 0.5000 0.0000  2 Mg 2.06
H: 0.6607 0.8304 0.3274  1 Mg 2.01, 1 Li 2.11
H: 0.8304 0.1696 0.6726  1 Mg 2.01, 1 Li 2.11
H: 0.8304 0.6607 0.6726  1 Mg 2.01, 1 Li 2.11

***

Entry 2:
DFT (PBE) results for crystalline BaLiMnH6 at its relaxed geometry.

Results
DOS at the Fermi energy	1.722	states/eV/cell
energy	-35.610	eV/cell

Unit cell a=4.7931 b=4.7931 c=4.9423 alpha=90.00 beta=90.00 gamma=120.00
Last column: nearest neighbours and their distance in Å.
Sites, in units of the cell vectors:
Ba: 0.0000 0.0000 0.0000  12 H 2.77
Li: 0.3333 0.6667 0.5000  6 H 1.89
Mn: 0.6667 0.3333 0.5000  6 H 1.64
H: 0.5199 0.0397 0.2793  1 Mn 1.64
H: 0.5199 0.0397 0.7207  1 Mn 1.64
H: 0.5199 0.4801 0.2793  1 Mn 1.64
H: 0.5199 0.4801 0.7207  1 Mn 1.64
H: 0.9603 0.4801 0.2793  1 Mn 1.64
H: 0.9603 0.4801 0.7207  1 Mn 1.64

***

Entry 3:
DFT (PBE) results for crystalline Ba3NaLi2H9 at its relaxed geometry.

Results
DOS at the Fermi energy	0.000	states/eV/cell
energy	-48.110	eV/cell

Unit cell a=5.7565 b=5.7565 c=7.0672 alpha=90.00 beta=90.00 gamma=120.00
Last column: nearest neighbours and their distance in Å.
Sites, in units of the cell vectors:
Ba: 0.0000 0.0000 0.0000  12 H 2.86-2.88
Ba: 0.3333 0.6667 0.6733  12 H 2.84-2.95
Ba: 0.6667 0.3333 0.3267  12 H 2.84-2.95
Na: 0.0000 0.0000 0.5000  6 H 2.16
Li: 0.3333 0.6667 0.1647  6 H 1.93-2.03
Li: 0.6667 0.3333 0.8353  6 H 1.93-2.03
H: 0.0000 0.5000 0.0000  2 Li 2.03
H: 0.1752 0.3504 0.3213  1 Li 1.93, 1 Na 2.16
H: 0.1752 0.8248 0.3213  1 Li 1.93, 1 Na 2.16
H: 0.3504 0.1752 0.6787  1 Li 1.93, 1 Na 2.16
H: 0.5000 0.0000 0.0000  2 Li 2.03
H: 0.5000 0.5000 0.0000  2 Li 2.03
H: 0.6496 0.8248 0.3213  1 Li 1.93, 1 Na 2.16
H: 0.8248 0.1752 0.6787  1 Li 1.93, 1 Na 2.16
H: 0.8248 0.6496 0.6787  1 Li 1.93, 1 Na 2.16

***

Entry 4:
DFT (PBE) results for crystalline Ba2LiNi3H12 at its relaxed geometry.

Results
DOS at the Fermi energy	2.589	states/eV/cell
energy	-68.350	eV/cell

Unit cell a=6.1451 b=6.1451 c=6.1451 alpha=61.89 beta=61.89 gamma=61.89
Last column: nearest neighbours and their distance in Å.
Sites, in units of the cell vectors:
Ba: 0.1173 0.1173 0.1173  6 H 2.56-2.80
Ba: 0.8827 0.8827 0.8827  6 H 2.56-2.80
Li: 0.5000 0.5000 0.5000  6 H 1.94
Ni: 0.0000 0.5000 0.5000  6 H 1.55-1.65
Ni: 0.5000 0.0000 0.5000  6 H 1.55-1.65
Ni: 0.5000 0.5000 0.0000  6 H 1.55-1.65
H: 0.1263 0.5932 0.5932  1 Ni 1.55
H: 0.2007 0.2007 0.5776  2 Ni 1.65
H: 0.2007 0.5776 0.2007  2 Ni 1.65
H: 0.4068 0.4068 0.8737  1 Ni 1.55
H: 0.4068 0.8737 0.4068  1 Ni 1.55
H: 0.4224 0.7993 0.7993  2 Ni 1.65
H: 0.5776 0.2007 0.2007  2 Ni 1.65
H: 0.5932 0.1263 0.5932  1 Ni 1.55
H: 0.5932 0.5932 0.1263  1 Ni 1.55
H: 0.7993 0.4224 0.7993  2 Ni 1.65
H: 0.7993 0.7993 0.4224  2 Ni 1.65
H: 0.8737 0.4068 0.4068  1 Ni 1.55

***

Entry 5:
DFT (PBE) results for crystalline Ba2LiNiH at its relaxed geometry.

Results
DOS at the Fermi energy	2.814	states/eV/cell
energy	-14.980	eV/cell

Unit cell a=5.4912 b=5.4912 c=4.1384 alpha=90.00 beta=90.00 gamma=90.00
Last column: nearest neighbours and their distance in Å.
Sites, in units of the cell vectors:
Ba: 0.0000 0.5000 0.0000  2 H 2.75
Ba: 0.5000 0.0000 0.0000  2 H 2.75
Li: 0.0000 0.0000 0.5000  2 H 2.07
Ni: 0.5000 0.5000 0.5000  8 Ba 3.44
H: 0.0000 0.0000 0.0000  2 Li 2.07

***

Entry 6:
DFT (PBE) results for crystalline BaLiNi2H at its relaxed geometry.

Results
DOS at the Fermi energy	1.229	states/eV/cell
energy	-17.097	eV/cell

Unit cell a=4.0093 b=4.0093 c=4.8085 alpha=90.00 beta=90.00 gamma=90.00
Last column: nearest neighbours and their distance in Å.
Sites, in units of the cell vectors:
Ba: 0.0000 0.0000 0.0000  2 H 2.40
Li: 0.5000 0.5000 0.0000  4 Ba 2.83, 8 Ni 3.13
Ni: 0.0000 0.5000 0.5000  2 H 2.00
Ni: 0.5000 0.0000 0.5000  2 H 2.00
H: 0.0000 0.0000 0.5000  4 Ni 2.00

***

Entry 7:
DFT (PBE) results for crystalline Ba2Li2NiH4 at its relaxed geometry.

Results
DOS at the Fermi energy	2.703	states/eV/cell
energy	-27.972	eV/cell

Unit cell a=5.8021 b=5.8021 c=5.8021 alpha=114.75 beta=114.75 gamma=99.37
Last column: nearest neighbours and their distance in Å.
Sites, in units of the cell vectors:
Ba: 0.2500 0.7500 0.5000  8 H 2.96, 4 Li 3.19
Ba: 0.7500 0.2500 0.5000  8 H 2.96, 4 Li 3.19
Li: 0.1678 0.1678 0.0000  1 Ni 2.49, 1 Li 2.52
Li: 0.8322 0.8322 0.0000  1 Ni 2.49, 1 Li 2.52
Ni: 0.5000 0.5000 0.0000  4 H 1.64
H: 0.3146 0.3146 0.6292  1 Ni 1.64
H: 0.3146 0.6854 0.0000  1 Ni 1.64
H: 0.6854 0.3146 0.0000  1 Ni 1.64
H: 0.6854 0.6854 0.3708  1 Ni 1.64

***

> Which value of energy does entry 4 give?

-68.350 eV/cell